DFT (PBE with a Hubbard U) results for a geometry-optimized Co3AgP3H2O12 structure.

a b c (Å): 8.5065 8.5065 6.4976
angles (deg): 106.76 106.76 91.22
Last column: nearest neighbours and their distance in Å.
Fractional coordinates of all 42 atoms:
Co1 0.1274 0.4533 0.8805  6 O 2.05-2.16
Co2 0.2228 0.7772 0.7500  6 O 2.11-2.19
Co3 0.4533 0.1274 0.3805  6 O 2.05-2.16
Co4 0.5467 0.8726 0.6195  6 O 2.05-2.16
Co5 0.7772 0.2228 0.2500  6 O 2.11-2.19
Co6 0.8726 0.5467 0.1195  6 O 2.05-2.16
Ag1 0.4607 0.5393 0.2500  4 O 2.37-2.50
Ag2 0.5393 0.4607 0.7500  4 O 2.37-2.50
P1 0.1656 0.3902 0.3867  4 O 1.54-1.59
P2 0.1792 0.8208 0.2500  4 O 1.55-1.56
P3 0.3902 0.1656 0.8867  4 O 1.54-1.59
P4 0.6098 0.8344 0.1133  4 O 1.54-1.59
P5 0.8208 0.1792 0.7500  4 O 1.55-1.56
P6 0.8344 0.6098 0.6133  4 O 1.54-1.59
H1 0.1129 0.1164 0.3044  1 O 1.13
H2 0.1164 0.1129 0.8044  1 O 1.13
H3 0.8836 0.8871 0.1956  1 O 1.13
H4 0.8871 0.8836 0.6956  1 O 1.13
O1 0.0052 0.2113 0.7666  1 H 1.29
O2 0.0460 0.2296 0.3399  1 H 1.13
O3 0.1021 0.4657 0.1939  1 P 1.54
O4 0.1708 0.5164 0.6138  1 P 1.54
O5 0.2113 0.0052 0.2666  1 H 1.29
O6 0.2186 0.7120 0.0374  1 P 1.56
O7 0.2296 0.0460 0.8399  1 H 1.13
O8 0.2880 0.7814 0.4626  1 P 1.56
O9 0.3383 0.3393 0.8937  1 P 1.54
O10 0.3393 0.3383 0.3937  1 P 1.54
O11 0.4657 0.1021 0.6939  1 P 1.54
O12 0.4836 0.8292 0.8862  1 P 1.54
O13 0.5164 0.1708 0.1138  1 P 1.54
O14 0.5343 0.8979 0.3061  1 P 1.54
O15 0.6607 0.6617 0.6063  1 P 1.54
O16 0.6617 0.6607 0.1063  1 P 1.54
O17 0.7120 0.2186 0.5374  1 P 1.56
O18 0.7704 0.9540 0.1601  1 H 1.13
O19 0.7814 0.2880 0.9626  1 P 1.56
O20 0.7887 0.9948 0.7334  1 H 1.29
O21 0.8292 0.4836 0.3862  1 P 1.54
O22 0.8979 0.5343 0.8061  1 P 1.54
O23 0.9540 0.7704 0.6601  1 H 1.13
O24 0.9948 0.7887 0.2334  1 H 1.29

Properties
Total magnetization in μB per cell: 18.0
V in Å³/cell: 428.25
ρ in g cm⁻³: 4.433
Space-group type: C2/c (15)
E_tot in eV per atom: -6.407